# 1
# Cs2TlCr2, optimized geometry, DFT GGA-PBE
# * N(E_F): 1.820 states/eV per atom
# * ΔE to the lowest computed polymorph: 0 meV/atom
# * formation energy: 956 meV/atom
# * E_tot: -37.1 eV/cell
data_Cs2TlCr2
_cell_length_a 3.3264
_cell_length_b 3.3264
_cell_length_c 27.6192
_cell_angle_alpha 90.00
_cell_angle_beta 90.00
_cell_angle_gamma 90.00
_symmetry_space_group_name_H-M 'I 4/m m m'
_symmetry_Int_Tables_number 139
_symmetry_space_group_name_Hall '-I 4 2'
loop_
_atom_site_label
_atom_site_type_symbol
_atom_site_fract_x
_atom_site_fract_y
_atom_site_fract_z
Cs1 Cs 0.0000 0.0000 0.1252
Tl1 Tl 0.0000 0.0000 0.5000
Cr1 Cr 0.0000 0.5000 0.2500

# 2
# CsVCr2W, optimized geometry, DFT GGA-PBE
# * N(E_F): 0.984 states/eV per atom
# * formation energy: 3121 meV/atom
# * E_tot: -26.6 eV/cell
data_CsVCr2W
_cell_length_a 4.8630
_cell_length_b 4.8630
_cell_length_c 4.7456
_cell_angle_alpha 90.00
_cell_angle_beta 90.00
_cell_angle_gamma 90.00
_symmetry_space_group_name_H-M 'P 4/m m m'
_symmetry_Int_Tables_number 123
_symmetry_space_group_name_Hall '-P 4 2'
loop_
_atom_site_label
_atom_site_type_symbol
_atom_site_fract_x
_atom_site_fract_y
_atom_site_fract_z
Cs1 Cs 0.0000 0.0000 0.0000
V1 V 0.0000 0.0000 0.5000
Cr1 Cr 0.0000 0.5000 0.0000
W1 W 0.5000 0.5000 0.5000

# 3
# Cs2YVCr, optimized geometry, DFT GGA-PBE
# * N(E_F): 1.827 states/eV per atom
# * formation energy: 1638 meV/atom
# * E_tot: -18.7 eV/cell
data_Cs2YVCr
_cell_length_a 6.5664
_cell_length_b 6.5664
_cell_length_c 5.7683
_cell_angle_alpha 90.00
_cell_angle_beta 90.00
_cell_angle_gamma 90.00
_symmetry_space_group_name_H-M 'P 4/m m m'
_symmetry_Int_Tables_number 123
_symmetry_space_group_name_Hall '-P 4 2'
loop_
_atom_site_label
_atom_site_type_symbol
_atom_site_fract_x
_atom_site_fract_y
_atom_site_fract_z
Cs1 Cs 0.0000 0.5000 0.0000
Y1 Y 0.0000 0.0000 0.5000
V1 V 0.5000 0.5000 0.5000
Cr1 Cr 0.0000 0.0000 0.0000

Number 2 is which compound? CsVCr2W

The lowest N(E_F) belongs to which entry? CsVCr2W

formation energy of number 1 (Cs2TlCr2)? 956 meV/atom